1.
VASP calculation (PBE) on a relaxed CeHoMgHg crystal.

abc: 5.3514 5.3514 5.3514
angles: 60.00 60.00 60.00
Last column: nearest neighbours and their distance in Å.
Element x y z (fractional)
Mg  0.0000  0.0000  0.0000  4 Ce 3.28, 4 Ho 3.28
Hg  0.5000  0.5000  0.5000  4 Ce 3.28, 4 Ho 3.28
Ce  0.7500  0.7500  0.7500  4 Mg 3.28, 4 Hg 3.28
Ho  0.2500  0.2500  0.2500  4 Hg 3.28, 4 Mg 3.28

Properties
Raw total energy (eV per formula unit): -13.0
Spin magnetization (μB per atom): 0.41
D(E_F) (states/eV/f.u.): 10.1
Theoretical density (g/cm3): 8.12
V (Å³/cell): 108.36
Energy of formation (kJ/mol of formula units): -61

---

2.
VASP calculation (PBE) on a relaxed Ba2HgGe3Pt4 crystal.

abc: 4.6442 4.6442 10.3607
angles: 90.00 90.00 90.00
Last column: nearest neighbours and their distance in Å.
Element x y z (fractional)
Ba  0.5000  0.0000  0.2496  8 Pt 3.46-3.48, 7 Ge 3.48-3.74, 2 Hg 3.48
Ba  0.0000  0.5000  0.7504  8 Pt 3.46-3.48, 2 Hg 3.48, 7 Ge 3.48-3.74
Hg  0.5000  0.5000  0.5000  4 Pt 2.77
Ge  0.0000  0.0000  0.5000  4 Pt 2.77
Ge  0.5000  0.0000  0.8885  5 Pt 2.52-2.59
Ge  0.0000  0.5000  0.1115  5 Pt 2.52-2.59
Pt  0.5000  0.5000  0.0000  4 Ge 2.59
Pt  0.0000  0.0000  0.0000  4 Ge 2.59
Pt  0.5000  0.0000  0.6453  3 Ge 2.52-2.77, 2 Hg 2.77
Pt  0.0000  0.5000  0.3547  3 Ge 2.52-2.77, 2 Hg 2.77

Properties
Raw total energy (eV per formula unit): -48.8
Spin magnetization (μB per atom): 0.00
D(E_F) (states/eV/f.u.): 5.0
Theoretical density (g/cm3): 10.95
V (Å³/cell): 223.47
Energy of formation (kJ/mol of formula units): -639

---

3.
VASP calculation (PBE) on a relaxed TlRuPt2 crystal.

abc: 9.2085 9.2085 9.2085
angles: 18.44 18.44 18.44
Last column: nearest neighbours and their distance in Å.
Element x y z (fractional)
Pt  0.9968  0.9968  0.9968  9 Pt 2.82-2.95, 3 Tl 2.93
Pt  0.2473  0.2473  0.2473  3 Ru 2.68, 9 Pt 2.82-2.95
Ru  0.5045  0.5045  0.5045  3 Pt 2.68, 3 Tl 2.90, 6 Ru 2.95
Tl  0.7514  0.7514  0.7514  3 Ru 2.90, 3 Pt 2.93, 6 Tl 2.95

Properties
Raw total energy (eV per formula unit): -22.3
Spin magnetization (μB per atom): 0.15
D(E_F) (states/eV/f.u.): 5.4
Theoretical density (g/cm3): 16.92
V (Å³/cell): 68.26
Energy of formation (kJ/mol of formula units): 136
E above lowest polymorph (meV per atom): 131

---

4.
VASP calculation (PBE) on a relaxed Pm3PuSb4 crystal.

abc: 6.3311 6.3311 6.3311
angles: 90.00 90.00 90.00
Last column: nearest neighbours and their distance in Å.
Element x y z (fractional)
Sb  0.5000  0.0000  0.0000  4 Pm 3.17, 2 Pu 3.17
Sb  0.0000  0.5000  0.0000  4 Pm 3.17, 2 Pu 3.17
Sb  0.0000  0.0000  0.5000  4 Pm 3.17, 2 Pu 3.17
Sb  0.5000  0.5000  0.5000  6 Pm 3.17
Pu  0.0000  0.0000  0.0000  6 Sb 3.17
Pm  0.0000  0.5000  0.5000  6 Sb 3.17
Pm  0.5000  0.0000  0.5000  6 Sb 3.17
Pm  0.5000  0.5000  0.0000  6 Sb 3.17

Properties
Raw total energy (eV per formula unit): -53.3
Spin magnetization (μB per atom): 0.63
D(E_F) (states/eV/f.u.): 19.3
Theoretical density (g/cm3): 7.63
V (Å³/cell): 253.76
Uncorrected formation energy (eV per atom): -1.03
E above lowest polymorph (meV per atom): 3

---

5.
VASP calculation (PBE) on a relaxed TlPdAu crystal.

abc: 4.0656 4.0656 7.2640
angles: 86.54 86.54 89.79
Last column: nearest neighbours and their distance in Å.
Element x y z (fractional)
Tl  0.7158  0.7158  0.3267  5 Pd 2.81-2.92, 4 Au 3.12
Tl  0.2842  0.2842  0.6733  5 Pd 2.81-2.92, 4 Au 3.12
Pd  0.7863  0.7863  0.7044  5 Tl 2.81-2.92, 4 Au 2.94-2.96
Pd  0.2137  0.2137  0.2956  5 Tl 2.81-2.92, 4 Au 2.94-2.96
Au  0.2511  0.7489  0.0000  4 Au 2.86-2.88, 4 Pd 2.94-2.96, 4 Tl 3.12
Au  0.7489  0.2511  0.0000  4 Au 2.86-2.88, 4 Pd 2.94-2.96, 4 Tl 3.12

Properties
Raw total energy (eV per formula unit): -11.0
Spin magnetization (μB per atom): 0.00
D(E_F) (states/eV/f.u.): 0.8
Theoretical density (g/cm3): 14.10
V (Å³/cell): 119.63
Energy of formation (kJ/mol of formula units): -19
E above lowest polymorph (meV per atom): 42

---

6.
VASP calculation (PBE) on a relaxed TbTmC crystal.

abc: 3.5531 3.5531 6.2160
angles: 90.00 90.00 120.00
Last column: nearest neighbours and their distance in Å.
Element x y z (fractional)
C  0.6667  0.3333  0.3373  3 Tm 2.43, 3 Tb 2.47
Tm  0.3333  0.6667  0.5479  3 C 2.43
Tb  0.0000  0.0000  0.1148  3 C 2.47

Properties
Raw total energy (eV per formula unit): -19.1
Spin magnetization (μB per atom): 0.00
D(E_F) (states/eV/f.u.): 2.0
Theoretical density (g/cm3): 8.30
V (Å³/cell): 67.96
Energy of formation (kJ/mol of formula units): -79
E above lowest polymorph (meV per atom): 23

---

7.
VASP calculation (PBE) on a relaxed ZrTaRu2 crystal.

abc: 8.8659 8.8659 8.8659
angles: 19.75 19.75 19.75
Last column: nearest neighbours and their distance in Å.
Element x y z (fractional)
Ru  0.9981  0.9981  0.9981  3 Zr 2.75, 9 Ru 2.78-3.04
Ru  0.2489  0.2489  0.2489  3 Ta 2.63, 3 Ru 2.78
Ta  0.5071  0.5071  0.5071  3 Ru 2.63
Zr  0.7459  0.7459  0.7459  3 Ru 2.75, 3 Ta 3.03, 6 Zr 3.04

Properties
Raw total energy (eV per formula unit): -38.1
Spin magnetization (μB per atom): 0.00
D(E_F) (states/eV/f.u.): 6.4
Theoretical density (g/cm3): 11.31
V (Å³/cell): 69.62
Energy of formation (kJ/mol of formula units): 81

---

8.
VASP calculation (PBE) on a relaxed CsHSe2Br crystal.

abc: 4.4168 4.4168 7.8105
angles: 90.00 90.00 90.00
Last column: nearest neighbours and their distance in Å.
Element x y z (fractional)
Cs  0.5000  0.5000  0.5000  4 Br 3.12
H  0.0000  0.0000  0.0000  4 Se 2.21
Se  0.0000  0.5000  0.0000  2 H 2.21
Se  0.5000  0.0000  0.0000  2 H 2.21
Br  0.0000  0.0000  0.5000  4 Cs 3.12

Properties
Raw total energy (eV per formula unit): -13.1
Spin magnetization (μB per atom): 0.00
D(E_F) (states/eV/f.u.): 4.1
Theoretical density (g/cm3): 4.05
V (Å³/cell): 152.37
E above lowest polymorph (meV per atom): 0

---

9.
VASP calculation (PBE) on a relaxed Hg4SbCl3 crystal.

abc: 7.9122 7.4799 11.0568
angles: 90.00 90.00 90.00
Last column: nearest neighbours and their distance in Å.
Element x y z (fractional)
Hg  0.1661  0.8651  0.0000  1 Cl 2.45, 1 Sb 2.70
Hg  0.5824  0.0681  0.0000  1 Sb 3.53, 3 Hg 3.63-3.70, 1 Cl 3.74
Hg  0.2408  0.2985  0.1669  1 Cl 2.43, 1 Sb 2.70
Hg  0.7408  0.7015  0.3331  1 Cl 2.43, 1 Sb 2.70
Hg  0.0824  0.9319  0.5000  1 Sb 3.53, 3 Hg 3.63-3.70, 1 Cl 3.74
Hg  0.6661  0.1349  0.5000  1 Cl 2.45, 1 Sb 2.70
Hg  0.7408  0.7015  0.6669  1 Cl 2.43, 1 Sb 2.70
Hg  0.2408  0.2985  0.8331  1 Cl 2.43, 1 Sb 2.70
Sb  0.0139  0.1883  0.0000  3 Hg 2.70
Sb  0.5139  0.8117  0.5000  3 Hg 2.70
Cl  0.3723  0.6199  0.0000  1 Hg 2.45
Cl  0.9494  0.6331  0.1791  1 Hg 2.43
Cl  0.4494  0.3669  0.3209  1 Hg 2.43
Cl  0.8723  0.3801  0.5000  1 Hg 2.45
Cl  0.4494  0.3669  0.6791  1 Hg 2.43
Cl  0.9494  0.6331  0.8209  1 Hg 2.43

Properties
Raw total energy (eV per formula unit): -13.9
Spin magnetization (μB per atom): 0.00
D(E_F) (states/eV/f.u.): 0.0
Theoretical density (g/cm3): 5.23
V (Å³/cell): 654.37
Uncorrected formation energy (eV per atom): -0.38

---

10.
VASP calculation (PBE) on a relaxed Pm4PS3 crystal.

abc: 5.7360 5.7360 5.7360
angles: 90.00 90.00 90.00
Last column: nearest neighbours and their distance in Å.
Element x y z (fractional)
Pm  0.5000  0.0000  0.0000  4 S 2.87, 2 P 2.87
Pm  0.0000  0.5000  0.0000  4 S 2.87, 2 P 2.87
Pm  0.0000  0.0000  0.5000  4 S 2.87, 2 P 2.87
Pm  0.5000  0.5000  0.5000  6 S 2.87
P  0.0000  0.0000  0.0000  6 Pm 2.87
S  0.0000  0.5000  0.5000  6 Pm 2.87
S  0.5000  0.0000  0.5000  6 Pm 2.87
S  0.5000  0.5000  0.0000  6 Pm 2.87

Properties
Raw total energy (eV per formula unit): -52.5
Spin magnetization (μB per atom): 0.00
D(E_F) (states/eV/f.u.): 1.7
Theoretical density (g/cm3): 6.22
V (Å³/cell): 188.72
Uncorrected formation energy (eV per atom): -1.96

---

11.
VASP calculation (PBE) on a relaxed MnInH6Ir2 crystal.

abc: 5.5602 5.5602 6.1377
angles: 99.79 99.79 99.88
Last column: nearest neighbours and their distance in Å.
Element x y z (fractional)
Mn  0.5936  0.4064  0.2500  8 H 1.88-2.09
Mn  0.4064  0.5936  0.7500  8 H 1.88-2.09
In  0.1497  0.8503  0.2500  10 H 2.44-2.64
In  0.8503  0.1497  0.7500  10 H 2.44-2.64
H  0.8913  0.4188  0.1413  1 Ir 1.64
H  0.5812  0.1087  0.3587  1 Ir 1.64
H  0.1087  0.5812  0.8587  1 Ir 1.64
H  0.4188  0.8913  0.6413  1 Ir 1.64
H  0.2184  0.2666  0.0953  1 Ir 1.75
H  0.7334  0.7816  0.4047  1 Ir 1.75
H  0.7816  0.7334  0.9047  1 Ir 1.75
H  0.2666  0.2184  0.5953  1 Ir 1.75
H  0.3567  0.5559  0.4243  1 Ir 1.65
H  0.4441  0.6433  0.0757  1 Ir 1.65
H  0.6433  0.4441  0.5757  1 Ir 1.65
H  0.5559  0.3567  0.9243  1 Ir 1.65
Ir  0.3464  0.0946  0.8341  3 H 1.64-1.75
Ir  0.9054  0.6536  0.6659  3 H 1.64-1.75
Ir  0.6536  0.9054  0.1659  3 H 1.64-1.75
Ir  0.0946  0.3464  0.3341  3 H 1.64-1.75

Properties
Raw total energy (eV per formula unit): -48.8
Spin magnetization (μB per atom): 0.37
D(E_F) (states/eV/f.u.): 2.8
Theoretical density (g/cm3): 10.32
V (Å³/cell): 180.30